Entry 1:
First-principles (SCAN) data for a crystal of Cr3RePb relaxed with PBEsol, as listed in the Alexandria database.

DFT formation energy = 2.06 eV/atom

```
data_Cr3RePb
_chemical_formula_sum 'Cr3 Re1 Pb1'
_cell_length_a 4.946
_cell_length_b 4.946
_cell_length_c 4.946
_cell_angle_alpha 90.00
_cell_angle_beta 90.00
_cell_angle_gamma 90.00
_symmetry_space_group_name_H-M 'P m -3 m'
_symmetry_Int_Tables_number 221
_symmetry_space_group_name_Hall '-P 4 2 3'
loop_
_atom_site_label
_atom_site_type_symbol
_atom_site_fract_x
_atom_site_fract_y
_atom_site_fract_z
Cr1 Cr 0.000 0.000 0.500
Re1 Re 0.500 0.500 0.500
Pb1 Pb 0.000 0.000 0.000
```



Entry 2:
First-principles (SCAN) data for a crystal of Y2CrSe relaxed with PBEsol, as listed in the Alexandria database.

Calculated total energy = -0.895 hartree per atom

```
data_Y2CrSe
_chemical_formula_sum 'Y4 Cr2 Se2'
_cell_length_a 4.237
_cell_length_b 3.800
_cell_length_c 10.777
_cell_angle_alpha 90.00
_cell_angle_beta 90.00
_cell_angle_gamma 90.00
_symmetry_space_group_name_H-M 'A m m 2'
_symmetry_Int_Tables_number 38
loop_
_symmetry_equiv_pos_as_xyz
'x,y,z'
'-x,-y,z'
'-x,y,z'
'x,-y,z'
'x,y+1/2,z+1/2'
'-x,-y+1/2,z+1/2'
'-x,y+1/2,z+1/2'
'x,-y+1/2,z+1/2'
loop_
_atom_site_label
_atom_site_type_symbol
_atom_site_fract_x
_atom_site_fract_y
_atom_site_fract_z
Y1 Y 0.000 0.000 0.000
Y2 Y 0.500 0.000 0.291
Cr1 Cr 0.000 0.000 0.724
Se1 Se 0.500 0.000 0.574
```



Entry 3:
First-principles (SCAN) data for a crystal of SmAlCu relaxed with PBEsol, as listed in the Alexandria database.

DFT formation energy = -0.47 eV/atom

```
data_SmAlCu
_chemical_formula_sum 'Sm3 Al3 Cu3'
_cell_length_a 7.0513
_cell_length_b 7.0513
_cell_length_c 4.0179
_cell_angle_alpha 90.00
_cell_angle_beta 90.00
_cell_angle_gamma 120.00
_symmetry_space_group_name_H-M 'P -6 2 m'
_symmetry_Int_Tables_number 189
_symmetry_space_group_name_Hall 'P -6 -2'
loop_
_atom_site_label
_atom_site_type_symbol
_atom_site_fract_x
_atom_site_fract_y
_atom_site_fract_z
Sm1 Sm 0.0000 0.4170 0.0000
Al1 Al 0.0000 0.7672 0.5000
Cu1 Cu 0.0000 0.0000 0.0000
Cu2 Cu 0.3333 0.6667 0.5000
```



no.,DOS(E_F) (states/eV per cell),volume (Å³/f.u.)
1,2.51,121.0
2,3.60,86.8
3,5.28,57.7